# 1
Material: Tc2Hg
Method: DFT, PBE-GGA
State: relaxed

The value obtained for the total magnetization is 0.0 μB per formula unit. The value obtained for the calculated formation energy is 2.24 eV/f.u. The value obtained for the energy above the lowest structure with this stoichiometry is 496.6 meV/atom.

Unit cell a=2.9225 b=4.5937 c=16.0468 alpha=90.00 beta=90.00 gamma=90.00
Space group Imma (No. 74)
Symmetry-distinct sites (fractional):
1 Tc 0.0000 0.2500 0.0348 [4 per cell]
2 Tc 0.0000 0.2500 0.1842 [4 per cell]
3 Hg 0.0000 0.2500 0.6360 [4 per cell]

=====

# 2
Material: Tc4Hg3
Method: DFT, PBE-GGA
State: relaxed

The value obtained for the total magnetization is 0.0 μB per formula unit. The value obtained for the calculated formation energy is 6.80 eV/f.u. The value obtained for the energy above the lowest structure with this stoichiometry is 706.5 meV/atom.

Unit cell a=5.3078 b=5.3078 c=5.0941 alpha=90.00 beta=90.00 gamma=120.00
Space group P6/mmm (No. 191)
Symmetry-distinct sites (fractional):
1 Tc 0.0000 0.0000 0.2153 [2 per cell]
2 Tc 0.3333 0.6667 0.0000 [2 per cell]
3 Hg 0.0000 0.5000 0.5000 [3 per cell]

=====

# 3
Material: TcHg5
Method: DFT, PBE-GGA
State: relaxed

The value obtained for the total magnetization is 3.4 μB per formula unit. The value obtained for the calculated formation energy is 4.52 eV/f.u. The value obtained for the energy above the lowest structure with this stoichiometry is 410.1 meV/atom.

Unit cell a=8.3328 b=8.3328 c=8.3328 alpha=90.00 beta=90.00 gamma=90.00
Space group F-43m (No. 216)
Symmetry-distinct sites (fractional):
1 Tc 0.0000 0.0000 0.0000 [4 per cell]
2 Hg 0.1255 0.1255 0.3745 [16 per cell]
3 Hg 0.2500 0.2500 0.7500 [4 per cell]

=====

# 4
Material: TcHg2
Method: DFT, PBE-GGA
State: relaxed

The value obtained for the total magnetization is 2.1 μB per formula unit. The value obtained for the calculated formation energy is 3.22 eV/f.u. The value obtained for the energy above the lowest structure with this stoichiometry is 805.9 meV/atom.

Unit cell a=7.8746 b=7.8746 c=7.8746 alpha=90.00 beta=90.00 gamma=90.00
Space group Fd-3m (No. 227, origin choice 2)
Symmetry-distinct sites (fractional):
1 Tc 0.1250 0.1250 0.1250 [8 per cell]
2 Hg 0.0000 0.0000 0.5000 [16 per cell]